VASP calculation (PBE) on a relaxed KPb4Cl crystal.

extended XYZ file:
```
6
Lattice="2.8956 -4.4814 3.9079 -3.6194 -3.4306 4.3440 -1.1054 -6.4468 -0.9777" Properties=species:S:1:pos:R:3 pbc="T T T"
Cl -1.3719 -10.7691 5.4556
Pb 0.7667 -7.6266 4.6848
Pb -2.5002 -7.0996 4.9035
Pb -0.6853 -5.3793 2.7251
Pb -1.2396 -8.6121 2.2349
K 0.0000 0.0000 0.0000
```

Values from the calculation:
As for the space-group type: F-43m (216). For the raw total energy, the calculation gives -18.65 eV per cell. Its uncorrected formation energy is -146 meV/atom.